No. 1
{"formula": "SeF", "functional": "PBE", "state": "optimized geometry", "rho_g_cm3": 2.9, "energy_ev_per_cell": -57.62, "cell": [[6.659, 0.000, 0.000], [0.000, 7.799, 0.000], [0.000, 0.000, 8.555]], "species": ["Se", "Se", "Se", "Se", "Se", "Se", "Se", "Se", "F", "F", "F", "F", "F", "F", "F", "F"], "fractional_positions": [[0.004, 0.093, 0.210], [0.205, 0.503, 0.852], [0.295, 0.497, 0.352], [0.496, 0.907, 0.710], [0.504, 0.407, 0.790], [0.705, 0.997, 0.148], [0.795, 0.003, 0.648], [0.996, 0.593, 0.290], [0.129, 0.629, 0.679], [0.179, 0.921, 0.146], [0.321, 0.079, 0.646], [0.371, 0.371, 0.179], [0.629, 0.871, 0.321], [0.679, 0.579, 0.854], [0.821, 0.421, 0.354], [0.871, 0.129, 0.821]]}

No. 2
{"formula": "NbOsAu2", "functional": "PBE", "state": "optimized geometry", "ef_mev_per_atom": 431, "rho_g_cm3": 16.6, "energy_ev_per_cell": -26.13, "cell": [[0.000, 3.238, 3.238], [3.238, 0.000, 3.238], [3.238, 3.238, 0.000]], "species": ["Nb", "Os", "Au", "Au"], "fractional_positions": [[0.000, 0.000, 0.000], [0.500, 0.500, 0.500], [0.250, 0.250, 0.250], [0.750, 0.750, 0.750]]}

No. 3
{"formula": "ZrAgPO5", "functional": "PBE", "state": "optimized geometry", "rho_g_cm3": 4.6, "energy_ev_per_cell": -119.47, "cell": [[3.682, -4.385, 0.000], [3.682, 4.385, 0.000], [-3.630, 0.000, 6.924]], "species": ["Zr", "Zr", "Ag", "Ag", "P", "P", "O", "O", "O", "O", "O", "O", "O", "O", "O", "O"], "fractional_positions": [[0.000, 0.000, 0.000], [0.000, 0.000, 0.500], [0.323, 0.677, 0.750], [0.677, 0.323, 0.250], [0.328, 0.672, 0.250], [0.672, 0.328, 0.750], [0.072, 0.928, 0.750], [0.165, 0.711, 0.377], [0.256, 0.384, 0.122], [0.289, 0.835, 0.123], [0.384, 0.256, 0.622], [0.616, 0.744, 0.378], [0.711, 0.165, 0.877], [0.744, 0.616, 0.878], [0.835, 0.289, 0.623], [0.928, 0.072, 0.250]]}